Compound: HfHRu2Pt
Source: Alexandria
Functional: PBE-GGA
Structure: relaxed

Cell: 4.0261 4.0261 3.9833 Å, 90.00 90.00 90.00°
With the nearest neighbours (Å) after each atom.
Fractional positions:
Hf (0.0000, 0.0000, 0.0000)  8 Ru 2.83, 4 Pt 2.85
H (0.5000, 0.5000, 0.5000)  2 Pt 1.99, 4 Ru 2.01
Ru (0.0000, 0.5000, 0.5000)  2 H 2.01
Ru (0.5000, 0.0000, 0.5000)  2 H 2.01
Pt (0.5000, 0.5000, 0.0000)  2 H 1.99

Output
Total magnetic moment, μB/f.u.: 0.0
Offset from the most stable computed form, eV per atom: 0.015